(1)
Compound: Ac2LaPm2
Source: the Alexandria database
Functional: PBE-GGA
Structure: optimized geometry

Results
DOS(E_F)   14.75 states/eV/cell
Energy above the most stable polymorph in this dataset   0.032 eV per atom
Total energy   -22.27 eV per formula unit
Crystal system   monoclinic
SG   No. 15
V   39.23 A^3/atom
Energy of formation from the pure elements   0.07 eV per atom
Mass density   7475 kg/m3

Unit cell a=9.698 b=9.698 c=6.621 alpha=106.70 beta=106.70 gamma=41.44
Fractional coordinates of all 10 atoms:
Ac: 0.046 0.341 0.197
Ac: 0.341 0.046 0.697
Ac: 0.659 0.954 0.303
Ac: 0.954 0.659 0.803
La: 0.082 0.918 0.750
La: 0.918 0.082 0.250
Pm: 0.291 0.531 0.341
Pm: 0.469 0.709 0.159
Pm: 0.531 0.291 0.841
Pm: 0.709 0.469 0.659



(2)
Compound: BaCuPb3
Source: the Alexandria database
Functional: PBE-GGA
Structure: optimized geometry

Results
DOS(E_F)   2.68 states/eV/cell
Total energy   -17.63 eV per formula unit
Crystal system   cubic
SG   No. 221
V   32.26 A^3/atom
Energy of formation from the pure elements   -0.10 eV per atom
Mass density   8466 kg/m3

Unit cell a=5.444 b=5.444 c=5.444 alpha=90.00 beta=90.00 gamma=90.00
Fractional coordinates of all 5 atoms:
Ba: 0.000 0.000 0.000
Cu: 0.500 0.500 0.500
Pb: 0.000 0.500 0.500
Pb: 0.500 0.000 0.500
Pb: 0.500 0.500 0.000



(3)
Compound: Ba3Ca13
Source: the Alexandria database
Functional: PBE-GGA
Structure: optimized geometry

Results
DOS(E_F)   18.20 states/eV/cell
Energy above the most stable polymorph in this dataset   0.005 eV per atom
Total energy   -31.36 eV per formula unit
Crystal system   orthorhombic
SG   No. 38
V   45.80 A^3/atom
Energy of formation from the pure elements   0.03 eV per atom
Mass density   2114 kg/m3

Unit cell a=13.127 b=8.028 c=8.028 alpha=60.02 beta=90.00 gamma=90.00
Fractional coordinates of all 16 atoms:
Ba: 0.000 0.000 0.000
Ba: 0.250 0.667 0.667
Ba: 0.750 0.667 0.667
Ca: 0.000 0.007 0.496
Ca: 0.000 0.496 0.007
Ca: 0.000 0.497 0.497
Ca: 0.254 0.169 0.169
Ca: 0.254 0.169 0.663
Ca: 0.254 0.663 0.169
Ca: 0.500 0.328 0.836
Ca: 0.500 0.334 0.334
Ca: 0.500 0.836 0.328
Ca: 0.500 0.837 0.837
Ca: 0.746 0.169 0.169
Ca: 0.746 0.169 0.663
Ca: 0.746 0.663 0.169



(4)
Compound: Be2In2HgI6
Source: the Alexandria database
Functional: PBE-GGA
Structure: optimized geometry

Results
DOS(E_F)   0.00 states/eV/cell
Total energy   -27.54 eV per formula unit
Crystal system   triclinic
Uncorrected formation energy   -456 meV per atom
SG   No. 2
V   45.21 A^3/atom
Mass density   4039 kg/m3

Unit cell a=8.145 b=8.378 c=8.396 alpha=62.69 beta=78.72 gamma=89.30
Fractional coordinates of all 11 atoms:
Be: 0.070 0.209 0.383
Be: 0.930 0.791 0.617
In: 0.255 0.695 0.988
In: 0.745 0.305 0.012
Hg: 0.500 0.000 0.000
I: 0.022 0.982 0.281
I: 0.109 0.551 0.718
I: 0.360 0.316 0.303
I: 0.640 0.684 0.697
I: 0.891 0.449 0.282
I: 0.978 0.018 0.719



(5)
Compound: Re3CN
Source: the Alexandria database
Functional: PBE-GGA
Structure: optimized geometry

Results
DOS(E_F)   2.86 states/eV/cell
Energy above the most stable polymorph in this dataset   0.000 eV per atom
Total energy   -47.18 eV per formula unit
Crystal system   cubic
Uncorrected formation energy   1542 meV per atom
SG   No. 221
V   13.08 A^3/atom
Mass density   14839 kg/m3

Unit cell a=4.029 b=4.029 c=4.029 alpha=90.00 beta=90.00 gamma=90.00
Fractional coordinates of all 5 atoms:
Re: 0.000 0.000 0.500
Re: 0.000 0.500 0.000
Re: 0.500 0.000 0.000
C: 0.000 0.000 0.000
N: 0.500 0.500 0.500



(6)
Compound: TlFeRhCl6
Source: the Alexandria database
Functional: PBE-GGA
Structure: optimized geometry

Results
DOS(E_F)   5.82 states/eV/cell
Total energy   -35.84 eV per formula unit
Crystal system   monoclinic
Uncorrected formation energy   -731 meV per atom
SG   No. 5
V   27.57 A^3/atom
Mass density   3853 kg/m3

Unit cell a=6.346 b=6.346 c=7.115 alpha=90.04 beta=90.04 gamma=120.00
Fractional coordinates of all 9 atoms:
Tl: 0.000 0.000 0.000
Fe: 0.333 0.667 0.500
Rh: 0.667 0.333 0.500
Cl: 0.375 0.010 0.690
Cl: 0.376 0.366 0.310
Cl: 0.634 0.624 0.690
Cl: 0.636 0.010 0.310
Cl: 0.990 0.364 0.690
Cl: 0.990 0.625 0.310



(7)
Compound: CeNd2Sm12
Source: the Alexandria database
Functional: PBE-GGA
Structure: optimized geometry

Results
DOS(E_F)   50.66 states/eV/cell
Total energy   -69.55 eV per formula unit
Crystal system   orthorhombic
SG   No. 67
V   34.41 A^3/atom
Energy of formation from the pure elements   0.17 eV per atom
Mass density   7183 kg/m3

Unit cell a=6.798 b=6.798 c=25.015 alpha=90.00 beta=90.00 gamma=116.76
Fractional coordinates of all 30 atoms:
Ce: 0.250 0.750 0.999
Ce: 0.750 0.250 0.001
Nd: 0.250 0.750 0.266
Nd: 0.250 0.750 0.727
Nd: 0.750 0.250 0.273
Nd: 0.750 0.250 0.734
Sm: 0.001 0.501 0.874
Sm: 0.002 0.998 0.074
Sm: 0.018 0.518 0.417
Sm: 0.023 0.977 0.560
Sm: 0.250 0.250 0.198
Sm: 0.250 0.250 0.327
Sm: 0.250 0.250 0.673
Sm: 0.250 0.250 0.802
Sm: 0.477 0.523 0.560
Sm: 0.482 0.982 0.417
Sm: 0.498 0.502 0.074
Sm: 0.499 0.999 0.874
Sm: 0.501 0.001 0.126
Sm: 0.502 0.498 0.926
Sm: 0.518 0.018 0.583
Sm: 0.523 0.477 0.440
Sm: 0.750 0.750 0.198
Sm: 0.750 0.750 0.327
Sm: 0.750 0.750 0.673
Sm: 0.750 0.750 0.802
Sm: 0.977 0.023 0.440
Sm: 0.982 0.482 0.583
Sm: 0.998 0.002 0.926
Sm: 0.999 0.499 0.126



(8)
Compound: Pu2Cl3F2
Source: the Alexandria database
Functional: PBE-GGA
Structure: optimized geometry

Results
DOS(E_F)   26.55 states/eV/cell
Total energy   -55.63 eV per formula unit
Crystal system   monoclinic
Uncorrected formation energy   -2527 meV per atom
SG   No. 12
V   23.49 A^3/atom
Mass density   6387 kg/m3

Unit cell a=6.558 b=6.558 c=6.849 alpha=101.42 beta=101.42 gamma=34.80
Fractional coordinates of all 7 atoms:
Pu: 0.177 0.177 0.206
Pu: 0.823 0.823 0.794
Cl: 0.367 0.367 0.513
Cl: 0.500 0.500 0.000
Cl: 0.633 0.633 0.487
F: 0.228 0.228 0.871
F: 0.772 0.772 0.129



(9)
Compound: SiTeNF2
Source: the Alexandria database
Functional: PBE-GGA
Structure: optimized geometry

Results
DOS(E_F)   2.64 states/eV/cell
Energy above the most stable polymorph in this dataset   0.000 eV per atom
Total energy   -23.44 eV per formula unit
Crystal system   tetragonal
Uncorrected formation energy   -561 meV per atom
SG   No. 123
V   13.93 A^3/atom
Mass density   4951 kg/m3

Unit cell a=4.660 b=4.660 c=3.207 alpha=90.00 beta=90.00 gamma=90.00
Fractional coordinates of all 5 atoms:
Si: 0.000 0.000 0.000
Te: 0.500 0.500 0.500
N: 0.000 0.000 0.500
F: 0.000 0.500 0.000
F: 0.500 0.000 0.000



(10)
Compound: AcNd7Y2
Source: the Alexandria database
Functional: PBE-GGA
Structure: optimized geometry

Results
DOS(E_F)   14.09 states/eV/cell
Energy above the most stable polymorph in this dataset   0.000 eV per atom
Total energy   -48.65 eV per formula unit
Crystal system   orthorhombic
SG   No. 71
V   36.85 A^3/atom
Energy of formation from the pure elements   0.18 eV per atom
Mass density   6374 kg/m3

Unit cell a=9.644 b=9.644 c=9.644 alpha=146.00 beta=132.15 gamma=59.99
Fractional coordinates of all 10 atoms:
Ac: 0.000 0.000 0.000
Nd: 0.070 0.369 0.701
Nd: 0.332 0.631 0.701
Nd: 0.343 0.843 0.500
Nd: 0.500 0.500 0.000
Nd: 0.657 0.157 0.500
Nd: 0.668 0.369 0.299
Nd: 0.930 0.631 0.299
Y: 0.215 0.215 0.000
Y: 0.785 0.785 0.000



(11)
Compound: La5Pb3
Source: the Alexandria database
Functional: PBE-GGA
Structure: optimized geometry

Results
DOS(E_F)   9.40 states/eV/cell
Energy above the most stable polymorph in this dataset   0.072 eV per atom
Total energy   -39.67 eV per formula unit
Crystal system   orthorhombic
SG   No. 65
V   33.52 A^3/atom
Energy of formation from the pure elements   -0.49 eV per atom
Mass density   8149 kg/m3

Unit cell a=7.190 b=7.190 c=5.445 alpha=90.00 beta=90.00 gamma=107.67
Fractional coordinates of all 8 atoms:
La: 0.000 0.000 0.000
La: 0.000 0.500 0.000
La: 0.291 0.291 0.500
La: 0.500 0.000 0.000
La: 0.709 0.709 0.500
Pb: 0.204 0.796 0.500
Pb: 0.500 0.500 0.000
Pb: 0.796 0.204 0.500



(12)
Compound: La3B2IrN6
Source: the Alexandria database
Functional: PBE-GGA
Structure: optimized geometry

Results
Total energy   -97.37 eV per formula unit
Crystal system   trigonal
Uncorrected formation energy   -869 meV per atom
SG   No. 164
V   13.62 A^3/atom
Mass density   7258 kg/m3

Unit cell a=5.380 b=5.380 c=6.523 alpha=90.00 beta=90.00 gamma=120.00
Fractional coordinates of all 12 atoms:
La: 0.000 0.000 0.000
La: 0.333 0.667 0.675
La: 0.667 0.333 0.325
B: 0.333 0.667 0.280
B: 0.667 0.333 0.720
Ir: 0.000 0.000 0.500
N: 0.176 0.353 0.286
N: 0.176 0.824 0.286
N: 0.353 0.176 0.714
N: 0.647 0.824 0.286
N: 0.824 0.176 0.714
N: 0.824 0.647 0.714